*a*
A relaxed Ca2Ac6Ho crystal. Source: the Alexandria database, functional PBE-GGA.

The space group is Cmmm (No. 65) and the conventional cell measures 8.280, 16.776 and 5.867 Å, with angles of 90.00, 90.00 and 90.00 degrees. The asymmetric unit holds Ca at (0.000, 0.224, 0.000), Ac at (0.218, 0.356, 0.500), Ac at (0.245, 0.500, 0.000) and Ho at (0.000, 0.000, 0.500).

The value obtained for the density of states at the Fermi level is 29.8 states/eV per cell. The calculation puts the calculated volume at 815.0 Å³/cell.

***

*b*
A relaxed Ca2Ac6Ho crystal. Source: the Alexandria database, functional PBE-GGA.

The space group is P-6m2 (No. 187) and the conventional cell measures 3.9135, 3.9135 and 29.2655 Å, with angles of 90.00, 90.00 and 120.00 degrees. The asymmetric unit holds Ca at (0.0000, 0.0000, 0.1735), Ac at (0.0000, 0.0000, 0.3986), Ac at (0.6667, 0.3333, 0.0637), Ac at (0.6667, 0.3333, 0.2859) and Ho at (0.6667, 0.3333, 0.5000).

The value obtained for the density of states at the Fermi level is 17.1 states/eV per cell. The calculation puts the calculated volume at 388.2 Å³/cell.

***

How far above the most stable structure does each one sit? In eV/atom: *a* 0.202; *b* 0.000.

***

*a*
A relaxed CaAcPrHo crystal. Source: the Alexandria database, functional PBE-GGA.

The space group is F-43m (No. 216) and the conventional cell measures 8.466, 8.466 and 8.466 Å, with angles of 90.00, 90.00 and 90.00 degrees. The asymmetric unit holds Ca at (0.000, 0.000, 0.000), Ac at (0.250, 0.250, 0.750), Pr at (0.250, 0.250, 0.250) and Ho at (0.000, 0.000, 0.500).

The value obtained for the density of states at the Fermi level is 24.6 states/eV per cell. The calculation puts the calculated volume at 606.8 Å³/cell.

***

*b*
A relaxed CaAcPrHo crystal. Source: the Alexandria database, functional PBE-GGA.

The space group is P4mm (No. 99) and the conventional cell measures 3.798, 3.798 and 10.652 Å, with angles of 90.00, 90.00 and 90.00 degrees. The asymmetric unit holds Ca at (0.000, 0.000, 0.000), Ac at (0.500, 0.500, 0.718), Pr at (0.000, 0.000, 0.464) and Ho at (0.500, 0.500, 0.247).

The value obtained for the density of states at the Fermi level is 5.8 states/eV per cell. The calculation puts the calculated volume at 153.6 Å³/cell.

***

How far above the most stable structure does each one sit? In eV/atom: *a* 0.037; *b* 0.000.

***

*a*
A relaxed Ca2AcIn crystal. Source: the Alexandria database, functional PBE-GGA.

The space group is P2_1/m (No. 11) and the conventional cell measures 5.077, 5.121 and 11.804 Å, with angles of 90.00, 102.41 and 90.00 degrees. The asymmetric unit holds Ca at (0.065, 0.250, 0.133), Ca at (0.434, 0.250, 0.867), Ac at (0.303, 0.750, 0.603) and In at (0.156, 0.750, 0.316).

The value obtained for the density of states at the Fermi level is 7.7 states/eV per cell. The calculation puts the calculated volume at 299.7 Å³/cell.

***

*b*
A relaxed Ca2AcIn crystal. Source: the Alexandria database, functional PBE-GGA.

The space group is P2_1/m (No. 11) and the conventional cell measures 5.223, 9.432 and 6.658 Å, with angles of 90.00, 113.03 and 90.00 degrees. The asymmetric unit holds Ca at (0.150, 0.057, 0.299), Ac at (0.446, 0.250, 0.893) and In at (0.268, 0.750, 0.535).

The value obtained for the density of states at the Fermi level is 9.5 states/eV per cell. The calculation puts the calculated volume at 301.9 Å³/cell.

***

*c*
A relaxed Ca2AcIn crystal. Source: the Alexandria database, functional PBE-GGA.

The space group is R3m (No. 160, hexagonal axes) and the conventional cell measures 3.8750, 3.8750 and 34.6180 Å, with angles of 90.00, 90.00 and 120.00 degrees. The asymmetric unit holds Ca at (0.0000, 0.0000, 0.0000), Ca at (0.0000, 0.0000, 0.1918), Ac at (0.0000, 0.0000, 0.7616) and In at (0.0000, 0.0000, 0.5960).

The value obtained for the density of states at the Fermi level is 12.8 states/eV per cell. The calculation puts the calculated volume at 450.2 Å³/cell.

***

*d*
A relaxed Ca2AcIn crystal. Source: the Alexandria database, functional PBE-GGA.

The space group is P4/mmm (No. 123) and the conventional cell measures 3.763, 3.763 and 10.190 Å, with angles of 90.00, 90.00 and 90.00 degrees. The asymmetric unit holds Ca at (0.000, 0.000, 0.201), Ac at (0.500, 0.500, 0.500) and In at (0.500, 0.500, 0.000).

The value obtained for the density of states at the Fermi level is 3.2 states/eV per cell. The calculation puts the calculated volume at 144.3 Å³/cell.

***

How far above the most stable structure does each one sit? In eV/atom: *a* 0.000; *b* 0.021; *c* 0.114; *d* 0.029.

***

*a*
A relaxed Ca2AcIn crystal. Source: the Alexandria database, functional PBE-GGA.

The space group is P4/mmm (No. 123) and the conventional cell measures 5.097, 5.097 and 5.492 Å, with angles of 90.00, 90.00 and 90.00 degrees. The asymmetric unit holds Ca at (0.000, 0.500, 0.000), Ac at (0.000, 0.000, 0.500) and In at (0.500, 0.500, 0.500).

The value obtained for the density of states at the Fermi level is 2.1 states/eV per cell. The calculation puts the calculated volume at 142.7 Å³/cell.

***

*b*
A relaxed Ca2AcIn crystal. Source: the Alexandria database, functional PBE-GGA.

The space group is Fm-3m (No. 225) and the conventional cell measures 8.254, 8.254 and 8.254 Å, with angles of 90.00, 90.00 and 90.00 degrees. The asymmetric unit holds Ca at (0.250, 0.250, 0.250), Ac at (0.000, 0.000, 0.000) and In at (0.000, 0.000, 0.500).

The value obtained for the density of states at the Fermi level is 22.7 states/eV per cell. The calculation puts the calculated volume at 562.2 Å³/cell.

***

How far above the most stable structure does each one sit? In eV/atom: *a* 0.000; *b* 0.169.

***

*a*
A relaxed CaAc3In2 crystal. Source: the Alexandria database, functional PBE-GGA.

The space group is C2/m (No. 12) and the conventional cell measures 18.308, 5.722 and 8.803 Å, with angles of 90.00, 97.73 and 90.00 degrees. The asymmetric unit holds Ca at (0.160, 0.000, 0.275), Ac at (0.058, 0.000, 0.825), Ac at (0.124, 0.500, 0.540), Ac at (0.182, 0.500, 0.994), In at (0.034, 0.500, 0.174) and In at (0.219, 0.000, 0.663).

The value obtained for the density of states at the Fermi level is 19.6 states/eV per cell. The calculation puts the calculated volume at 913.9 Å³/cell.

***

*b*
A relaxed CaAc3In2 crystal. Source: the Alexandria database, functional PBE-GGA.

The space group is Pmc2_1 (No. 26) and the conventional cell measures 5.726, 10.500 and 7.319 Å, with angles of 90.00, 90.00 and 90.00 degrees. The asymmetric unit holds Ca at (0.000, 0.039, 0.000), Ac at (0.000, 0.321, 0.679), Ac at (0.500, 0.168, 0.282), Ac at (0.500, 0.463, 0.965), In at (0.000, 0.346, 0.198) and In at (0.500, 0.151, 0.766).

The value obtained for the density of states at the Fermi level is 11.4 states/eV per cell. The calculation puts the calculated volume at 440.0 Å³/cell.

***

How far above the most stable structure does each one sit? In eV/atom: *a* 0.070; *b* 0.000.

***

*a*
A relaxed CaAcInSn crystal. Source: the Alexandria database, functional PBE-GGA.

The space group is F-43m (No. 216) and the conventional cell measures 7.995, 7.995 and 7.995 Å, with angles of 90.00, 90.00 and 90.00 degrees. The asymmetric unit holds Ca at (0.000, 0.000, 0.000), Ac at (0.000, 0.000, 0.500), In at (0.250, 0.250, 0.250) and Sn at (0.250, 0.250, 0.750).

The value obtained for the density of states at the Fermi level is 9.3 states/eV per cell. The calculation puts the calculated volume at 511.0 Å³/cell.

***

*b*
A relaxed CaAcInSn crystal. Source: the Alexandria database, functional PBE-GGA.

The space group is Amm2 (No. 38) and the conventional cell measures 4.594, 4.921 and 11.972 Å, with angles of 90.00, 90.00 and 90.00 degrees. The asymmetric unit holds Ca at (0.000, 0.000, 0.000), Ac at (0.500, 0.000, 0.271), In at (0.000, 0.000, 0.712) and Sn at (0.500, 0.000, 0.554).

The value obtained for the density of states at the Fermi level is 4.0 states/eV per cell. The calculation puts the calculated volume at 270.6 Å³/cell.

***

How far above the most stable structure does each one sit? In eV/atom: *a* 0.058; *b* 0.000.